(1)
The following is a GGA-PBE calculation of a relaxed structure of LiCa2Cd12Ag3, from the Alexandria database.

extended XYZ file:
```
18
Lattice="-5.8994 1.7691 13.1135 -0.0080 1.7059 14.3870 -2.6332 6.8003 12.5187" Properties=species:S:1:pos:R:3 pbc="T T T"
Ca -5.5280 6.6508 25.9029
Ca -3.0126 3.6245 14.1164
Cd -4.6281 7.3240 21.7733
Ag -1.3166 3.4002 6.2594
Cd -6.2502 5.7090 29.1972
Cd -5.1816 5.4140 17.3428
Cd -6.2071 4.8918 22.0608
Cd -0.9817 2.0267 11.7534
Cd -2.3335 5.3835 17.9584
Cd -4.6220 8.2171 28.9008
Ag -2.9497 0.8845 6.5568
Li 0.0000 0.0000 0.0000
Cd -3.9186 2.0582 11.1185
Cd -2.2904 4.5663 10.8220
Cd -7.5589 8.2486 28.2659
Cd -3.3590 4.8613 22.6765
Cd -3.9125 2.9513 18.2460
Ag -0.0040 0.8530 7.1935
```

## Properties
* magnetization: 0.00 μB/cell
* calculated density: 6.60 g/cm3
* energy of formation: -46 meV/atom

(2)
The following is a GGA-PBE calculation of a relaxed structure of KCuP2S8, from the Alexandria database.

extended XYZ file:
```
12
Lattice="5.4351 0.0000 0.0000 -2.7175 4.7069 0.0000 0.0000 0.0000 11.1484" Properties=species:S:1:pos:R:3 pbc="T T T"
K 0.0000 0.0000 0.0000
S -1.6690 3.1913 4.0052
S 0.8807 4.5566 4.0052
S 1.9293 3.0410 7.1431
S 0.7883 1.6659 4.0052
Cu 0.0000 0.0000 5.5742
P 2.7175 1.5690 3.1737
S 1.8368 0.1503 7.1431
P 0.0000 3.1379 7.9747
S 0.0000 3.1379 9.9539
S 4.3865 1.5156 7.1431
S 2.7175 1.5690 1.1944
```

## Properties
* energy relative to the elements, uncorrected: -0.14 eV per atom
* magnetization: 0.00 μB/cell
* calculated density: 2.45 g/cm3

(3)
The following is a GGA-PBE calculation of a relaxed structure of Cd2GaAu2, from the Alexandria database.

extended XYZ file:
```
5
Lattice="-2.1181 -0.0714 3.4284 2.7860 -2.3852 1.6715 3.7062 4.2506 4.7475" Properties=species:S:1:pos:R:3 pbc="T T T"
Au 1.0003 -0.1457 2.9842
Au 3.3738 1.9396 6.8632
Ga 0.0000 0.0000 0.0000
Cd 0.9610 1.4754 5.3629
Cd 3.4131 0.3185 4.4845
```

## Properties
* magnetization: 0.00 μB/cell
* calculated density: 10.35 g/cm3
* energy of formation: -1 meV/atom

(4)
The following is a GGA-PBE calculation of a relaxed structure of Zn2CSeCl, from the Alexandria database.

extended XYZ file:
```
5
Lattice="4.0785 0.0000 0.0000 0.0000 5.1013 0.0000 0.0000 0.0000 4.0785" Properties=species:S:1:pos:R:3 pbc="T T T"
C 0.0000 0.0000 0.0000
Zn 0.0000 0.0000 2.0393
Se 0.0000 2.5506 0.0000
Zn 2.0393 0.0000 0.0000
Cl 2.0393 2.5506 2.0393
```

## Properties
* energy relative to the elements, uncorrected: 0.61 eV per atom
* magnetization: 0.00 μB/cell
* calculated density: 5.03 g/cm3

(5)
The following is a GGA-PBE calculation of a relaxed structure of ErPuSe2Cl, from the Alexandria database.

extended XYZ file:
```
10
Lattice="-1.5880 -2.8609 -2.5913 1.5838 -3.0382 2.3837 -11.8205 -0.2564 7.5271" Properties=species:S:1:pos:R:3 pbc="T T T"
Se -7.5224 -1.6995 6.4863
Cl -5.9103 -0.1282 3.7635
Er -1.9927 -1.4565 -0.5324
Pu -8.4014 -1.5955 3.5486
Se -0.4625 -1.5463 1.9906
Pu -3.4212 -1.6105 3.8747
Er -9.8299 -1.7495 7.9557
Se -11.3602 -1.6597 5.4327
Se -4.3002 -1.5065 0.9370
Cl -5.9124 -3.0778 3.6598
```

## Properties
* energy relative to the elements, uncorrected: -1.66 eV per atom
* magnetization: 10.95 μB/cell
* calculated density: 8.22 g/cm3